First-principles (PBE) data for PrAlBi2 after structural relaxation, as listed in the Alexandria database.

Formation enthalpy at 0 K in meV/atom: 109.0
Space-group type: No. 166
Spin magnetization in μB/cell: 0.00
Density of states at the Fermi level in states/eV/f.u.: 0.42

```
PrAlBi2
1.0
2.5550 1.4751 8.2237
-2.5550 1.4751 8.2237
0.0000 -2.9503 8.2237
Pr Al Bi
1 1 2
Cartesian
0.0000 0.0000 0.0000 Pr
0.0000 0.0000 12.3356 Al
0.0000 0.0000 9.7302 Bi
0.0000 0.0000 14.9409 Bi
```


First-principles (PBE) data for Pr2AlBi after structural relaxation, as listed in the Alexandria database.

Formation enthalpy at 0 K in meV/atom: -440.2
Space-group type: No. 166
Spin magnetization in μB/cell: 0.00
Energy above the lowest structure with this stoichiometry in meV/atom: 73
Density of states at the Fermi level in states/eV/f.u.: 3.05

```
Pr2AlBi
1.0
2.2057 1.2734 7.8680
-2.2057 1.2734 7.8680
0.0000 -2.5469 7.8680
Pr Al Bi
2 1 1
Cartesian
0.0000 0.0000 5.9111 Pr
0.0000 0.0000 17.6928 Pr
0.0000 0.0000 11.8020 Al
0.0000 0.0000 0.0000 Bi
```


First-principles (PBE) data for PrAl4Bi after structural relaxation, as listed in the Alexandria database.

Formation enthalpy at 0 K in meV/atom: -166.8
Space-group type: No. 216
Spin magnetization in μB/cell: 0.00
Density of states at the Fermi level in states/eV/f.u.: 5.37

```
PrAl4Bi
1.0
0.0000 4.0358 4.0358
4.0358 0.0000 4.0358
4.0358 4.0358 0.0000
Pr Al Bi
1 4 1
Cartesian
0.0000 0.0000 0.0000 Pr
5.0442 3.0274 3.0274 Al
3.0274 5.0442 3.0274 Al
3.0274 3.0274 5.0442 Al
5.0442 5.0442 5.0442 Al
2.0179 2.0179 2.0179 Bi
```